Er5Te2Ru: relaxed, PBE.

Cell and atoms, written as extended XYZ:
```
16
Lattice="-4.175 -0.228 -0.242 0.541 -7.776 -1.999 -0.541 -3.211 12.349" Properties=species:S:1:pos:R:3 pbc="T T T"
Er -0.270 -1.606 6.174
Er 0.270 -3.888 -0.999
Er 0.355 -7.132 0.596
Er -0.355 -3.856 9.754
Er -0.014 -7.323 7.134
Er 0.014 -3.665 3.216
Er -1.952 -6.689 3.735
Er -2.223 -4.527 6.372
Er -2.138 -9.513 9.597
Er -2.037 -1.702 0.511
Te -1.890 -4.911 0.992
Te -2.285 -6.305 9.116
Te -1.937 -9.731 6.340
Te -2.238 -1.484 3.768
Ru 0.000 -5.494 5.175
Ru 0.000 0.000 0.000
```

Uncorrected energy = -5.557 eV per atom
Energy relative to the elements, uncorrected = -0.76 eV/atom
Offset from the most stable computed form = 0 meV per atom
Density of states at the Fermi level = 10.71 states/eV per cell